Entry 1:
# CaCdPS2 | the Alexandria database | PBE | optimized geometry
# Energy relative to the lowest polymorph listed for this composition ... 416.3 meV per atom
# Formation energy from raw total energies ... 0.40 eV/atom
# Crystal system ... tetragonal
data_CaCdPS2
_chemical_formula_sum 'Ca1 Cd1 P1 S2'
_space_group_name_H-M_alt 'P 4/m m m'
_space_group_IT_number 123
_space_group_name_Hall '-P 4 2'
_cell_length_a 5.184
_cell_length_b 5.184
_cell_length_c 5.409
_cell_angle_alpha 90.00
_cell_angle_beta 90.00
_cell_angle_gamma 90.00
loop_
_atom_site_label
_atom_site_fract_x
_atom_site_fract_y
_atom_site_fract_z
Ca1 0.000 0.000 0.000
Cd1 0.500 0.500 0.500
P1 0.000 0.000 0.500
S1 0.000 0.500 0.000

=====

Entry 2:
# Ce2SmThAs4 | the Alexandria database | PBE | optimized geometry
# Calculated formation energy ... -1460 meV/atom
# Crystal system ... monoclinic
data_Ce2SmThAs4
_chemical_formula_sum 'Ce2 Sm1 Th1 As4'
_space_group_name_H-M_alt 'P 1 2/m 1'
_space_group_IT_number 10
_space_group_name_Hall '-P 2y'
_cell_length_a 7.315
_cell_length_b 4.232
_cell_length_c 7.337
_cell_angle_alpha 90.00
_cell_angle_beta 109.47
_cell_angle_gamma 90.00
loop_
_atom_site_label
_atom_site_fract_x
_atom_site_fract_y
_atom_site_fract_z
Ce1 0.000 0.000 0.000
Ce2 0.500 0.500 0.000
Sm1 0.000 0.500 0.500
Th1 0.500 0.000 0.500
As1 0.249 0.500 0.249
As2 0.250 0.000 0.751

=====

Entry 3:
# PmSmDyPb | the Alexandria database | PBE | optimized geometry
# Calculated formation energy ... -138 meV/atom
# Crystal system ... cubic
data_PmSmDyPb
_chemical_formula_sum 'Pm4 Sm4 Dy4 Pb4'
_space_group_name_H-M_alt 'F -4 3 m'
_space_group_IT_number 216
_space_group_name_Hall 'F -4 2 3'
_cell_length_a 7.858
_cell_length_b 7.858
_cell_length_c 7.858
_cell_angle_alpha 90.00
_cell_angle_beta 90.00
_cell_angle_gamma 90.00
loop_
_atom_site_label
_atom_site_fract_x
_atom_site_fract_y
_atom_site_fract_z
Pm1 0.000 0.000 0.000
Sm1 0.000 0.000 0.500
Dy1 0.250 0.250 0.250
Pb1 0.250 0.250 0.750

=====

Entry 4:
# Y4Si2Br5 | the Alexandria database | PBE | optimized geometry
# Formation energy from raw total energies ... -1.28 eV/atom
# Crystal system ... monoclinic
data_Y4Si2Br5
_chemical_formula_sum 'Y8 Si4 Br10'
_space_group_name_H-M_alt 'C 1 2/m 1'
_space_group_IT_number 12
_space_group_name_Hall '-C 2y'
_cell_length_a 22.560
_cell_length_b 3.996
_cell_length_c 8.106
_cell_angle_alpha 90.00
_cell_angle_beta 94.94
_cell_angle_gamma 90.00
loop_
_atom_site_label
_atom_site_fract_x
_atom_site_fract_y
_atom_site_fract_z
Y1 0.017 0.000 0.287
Y2 0.162 0.500 0.445
Si1 0.050 0.500 0.543
Br1 0.000 0.500 0.000
Br2 0.141 0.000 0.190
Br3 0.214 0.000 0.674

=====

Entry 5:
# AgB3As | the Alexandria database | PBE | optimized geometry
# Energy relative to the lowest polymorph listed for this composition ... 0.0 meV per atom
# Calculated formation energy ... 1867 meV/atom
# Crystal system ... cubic
data_AgB3As
_chemical_formula_sum 'Ag1 B3 As1'
_space_group_name_H-M_alt 'P m -3 m'
_space_group_IT_number 221
_space_group_name_Hall '-P 4 2 3'
_cell_length_a 4.158
_cell_length_b 4.158
_cell_length_c 4.158
_cell_angle_alpha 90.00
_cell_angle_beta 90.00
_cell_angle_gamma 90.00
loop_
_atom_site_label
_atom_site_fract_x
_atom_site_fract_y
_atom_site_fract_z
Ag1 0.000 0.000 0.000
B1 0.000 0.500 0.500
As1 0.500 0.500 0.500

=====

Entry 6:
# BiOs | the Alexandria database | PBE | optimized geometry
# Energy relative to the lowest polymorph listed for this composition ... 52.3 meV per atom
# Calculated formation energy ... 762 meV/atom
# Crystal system ... orthorhombic
data_BiOs
_chemical_formula_sum 'Bi8 Os8'
_space_group_name_H-M_alt 'P 21 21 21'
_space_group_IT_number 19
_space_group_name_Hall 'P 2ac 2ab'
_cell_length_a 6.335
_cell_length_b 6.392
_cell_length_c 9.387
_cell_angle_alpha 90.00
_cell_angle_beta 90.00
_cell_angle_gamma 90.00
loop_
_atom_site_label
_atom_site_fract_x
_atom_site_fract_y
_atom_site_fract_z
Bi1 0.002 0.003 0.019
Bi2 0.003 0.991 0.656
Os1 0.127 0.111 0.355
Os2 0.152 0.370 0.163

=====

Entry 7:
# ScCr2GeAs | the Alexandria database | PBE | optimized geometry
# Calculated formation energy ... 1368 meV/atom
# Crystal system ... tetragonal
data_ScCr2GeAs
_chemical_formula_sum 'Sc1 Cr2 Ge1 As1'
_space_group_name_H-M_alt 'P 4/m m m'
_space_group_IT_number 123
_space_group_name_Hall '-P 4 2'
_cell_length_a 4.756
_cell_length_b 4.756
_cell_length_c 4.990
_cell_angle_alpha 90.00
_cell_angle_beta 90.00
_cell_angle_gamma 90.00
loop_
_atom_site_label
_atom_site_fract_x
_atom_site_fract_y
_atom_site_fract_z
Sc1 0.000 0.000 0.000
Cr1 0.000 0.500 0.000
Ge1 0.000 0.000 0.500
As1 0.500 0.500 0.500

=====

Entry 8:
# LiTa2Sb | the Alexandria database | PBE | optimized geometry
# Formation energy from raw total energies ... 0.09 eV/atom
# Crystal system ... tetragonal
data_LiTa2Sb
_chemical_formula_sum 'Li1 Ta2 Sb1'
_space_group_name_H-M_alt 'P 4/m m m'
_space_group_IT_number 123
_space_group_name_Hall '-P 4 2'
_cell_length_a 3.987
_cell_length_b 3.987
_cell_length_c 4.514
_cell_angle_alpha 90.00
_cell_angle_beta 90.00
_cell_angle_gamma 90.00
loop_
_atom_site_label
_atom_site_fract_x
_atom_site_fract_y
_atom_site_fract_z
Li1 0.000 0.000 0.000
Ta1 0.000 0.500 0.500
Sb1 0.500 0.500 0.000

=====

Let's list magnetization in order: 2.08 1.53 0.31 0.00 0.00 0.00 7.05 0.00 μB/f.u..
Let's list energy in order: -2.91 -6.79 -4.58 -5.38 -3.64 -6.79 -5.60 -7.35 eV/atom.
Let's list Fermi-level density of states in order: 1.0493 1.5004 2.0008 0.4461 0.4723 0.4816 1.0859 0.6551 states/eV/atom.